Record 1
A relaxed structure of YPIO4, computed with PBE.

Cell lengths 6.531, 6.531, 6.561 Å; angles 99.03, 99.03, 57.10 degrees
Sites, in units of the cell vectors:
Y: 0.196 0.196 0.319
Y: 0.804 0.804 0.681
P: 0.135 0.135 0.755
P: 0.865 0.865 0.245
I: 0.462 0.462 0.796
I: 0.538 0.538 0.204
O: 0.000 0.000 0.270
O: 0.000 0.000 0.730
O: 0.017 0.625 0.364
O: 0.194 0.194 0.984
O: 0.375 0.983 0.636
O: 0.625 0.017 0.364
O: 0.806 0.806 0.016
O: 0.983 0.375 0.636

raw formation energy = -2.399 eV/atom
final energy = -100.10 eV/cell
crystal system = monoclinic

---

Record 2
A relaxed structure of SrOsRu, computed with PBE.

Cell lengths 4.408, 7.533, 7.751 Å; angles 90.00, 90.00, 90.00 degrees
Sites, in units of the cell vectors:
Sr: 0.000 0.000 0.000
Sr: 0.000 0.500 0.146
Sr: 0.500 0.000 0.646
Sr: 0.500 0.500 0.500
Os: 0.000 0.342 0.746
Os: 0.000 0.658 0.746
Os: 0.500 0.158 0.246
Os: 0.500 0.842 0.246
Ru: 0.000 0.161 0.402
Ru: 0.000 0.839 0.402
Ru: 0.500 0.339 0.902
Ru: 0.500 0.661 0.902

calculated formation energy = 0.312 eV per atom
distance to the lowest polymorph of the same formula = 0.17 eV per formula unit
final energy = -85.00 eV/cell
crystal system = orthorhombic

---

Record 3
A relaxed structure of SiSn2Br, computed with PBE.

Cell lengths 7.708, 7.708, 7.926 Å; angles 90.00, 90.00, 90.00 degrees
Sites, in units of the cell vectors:
Si: 0.000 0.000 0.000
Si: 0.000 0.500 0.250
Si: 0.500 0.000 0.750
Si: 0.500 0.500 0.500
Sn: 0.203 0.250 0.125
Sn: 0.250 0.703 0.375
Sn: 0.250 0.797 0.875
Sn: 0.297 0.250 0.625
Sn: 0.703 0.750 0.625
Sn: 0.750 0.203 0.875
Sn: 0.750 0.297 0.375
Sn: 0.797 0.750 0.125
Br: 0.000 0.000 0.500
Br: 0.000 0.500 0.750
Br: 0.500 0.000 0.250
Br: 0.500 0.500 0.000

raw formation energy = 0.232 eV/atom
distance to the lowest polymorph of the same formula = 0.06 eV per formula unit
final energy = -56.70 eV/cell
crystal system = tetragonal

---

Record 4
A relaxed structure of Tl4Hg4Pb3, computed with PBE.

Cell lengths 9.736, 6.762, 6.762 Å; angles 47.66, 90.00, 90.00 degrees
Sites, in units of the cell vectors:
Tl: 0.000 0.000 0.000
Tl: 0.220 0.471 0.471
Tl: 0.500 0.936 0.936
Tl: 0.780 0.471 0.471
Hg: 0.000 0.272 0.272
Hg: 0.286 0.133 0.133
Hg: 0.500 0.317 0.317
Hg: 0.714 0.133 0.133
Pb: 0.184 0.764 0.764
Pb: 0.500 0.643 0.643
Pb: 0.816 0.764 0.764

calculated formation energy = 0.032 eV per atom
distance to the lowest polymorph of the same formula = 0.18 eV per formula unit
final energy = -21.44 eV/cell
crystal system = orthorhombic

---

Record 5
A relaxed structure of BaCaP2O8, computed with PBE.

Cell lengths 5.457, 5.457, 7.910 Å; angles 90.00, 90.00, 120.00 degrees
Sites, in units of the cell vectors:
Ba: 0.000 0.000 0.000
Ca: 0.000 0.000 0.500
P: 0.333 0.667 0.766
P: 0.667 0.333 0.234
O: 0.179 0.358 0.702
O: 0.179 0.821 0.702
O: 0.333 0.667 0.962
O: 0.358 0.179 0.298
O: 0.642 0.821 0.702
O: 0.667 0.333 0.038
O: 0.821 0.179 0.298
O: 0.821 0.642 0.298

raw formation energy = -2.388 eV/atom
final energy = -83.07 eV/cell
crystal system = trigonal

---

Record 6
A relaxed structure of RbScAgS2, computed with PBE.

Cell lengths 7.541, 5.096, 7.180 Å; angles 90.00, 99.39, 90.00 degrees
Sites, in units of the cell vectors:
Rb: 0.000 0.145 0.250
Rb: 0.000 0.855 0.750
Sc: 0.500 0.496 0.750
Sc: 0.500 0.504 0.250
Ag: 0.500 0.000 0.000
Ag: 0.500 0.000 0.500
S: 0.275 0.379 0.962
S: 0.275 0.621 0.462
S: 0.725 0.379 0.538
S: 0.725 0.621 0.038

raw formation energy = -1.068 eV/atom
final energy = -47.49 eV/cell
crystal system = monoclinic

---

Record 7
A relaxed structure of KP2W, computed with PBE.

Cell lengths 3.872, 3.872, 9.666 Å; angles 90.00, 90.00, 90.00 degrees
Sites, in units of the cell vectors:
K: 0.000 0.000 0.000
K: 0.500 0.500 0.500
P: 0.000 0.000 0.500
P: 0.000 0.500 0.750
P: 0.500 0.000 0.250
P: 0.500 0.500 0.000
W: 0.000 0.500 0.250
W: 0.500 0.000 0.750

calculated formation energy = 1.134 eV per atom
distance to the lowest polymorph of the same formula = 5.35 eV per formula unit
final energy = -40.67 eV/cell
crystal system = tetragonal

---

Record 8
A relaxed structure of HfNb3Sn, computed with PBE.

Cell lengths 5.475, 5.638, 6.768 Å; angles 90.00, 90.31, 90.00 degrees
Sites, in units of the cell vectors:
Hf: 0.127 0.250 0.133
Hf: 0.873 0.750 0.867
Nb: 0.378 0.750 0.019
Nb: 0.391 0.504 0.680
Nb: 0.391 0.996 0.680
Nb: 0.609 0.004 0.320
Nb: 0.609 0.496 0.320
Nb: 0.622 0.250 0.981
Sn: 0.082 0.750 0.370
Sn: 0.918 0.250 0.630

calculated formation energy = 0.103 eV per atom
distance to the lowest polymorph of the same formula = 0.00 eV per formula unit
final energy = -87.30 eV/cell
crystal system = monoclinic

---

Record 9
A relaxed structure of Y2BeW, computed with PBE.

Cell lengths 3.347, 3.347, 7.520 Å; angles 90.00, 90.00, 90.00 degrees
Sites, in units of the cell vectors:
Y: 0.000 0.000 0.238
Y: 0.000 0.000 0.762
Be: 0.500 0.500 0.000
W: 0.500 0.500 0.500

calculated formation energy = 0.496 eV per atom
final energy = -27.62 eV/cell
crystal system = tetragonal

---

Record 10
A relaxed structure of Ce9Th4In11, computed with PBE.

Cell lengths 14.692, 14.692, 3.478 Å; angles 90.00, 90.00, 116.60 degrees
Sites, in units of the cell vectors:
Ce: 0.000 0.000 0.000
Ce: 0.126 0.687 0.000
Ce: 0.301 0.493 0.000
Ce: 0.313 0.874 0.000
Ce: 0.493 0.301 0.000
Ce: 0.507 0.699 0.000
Ce: 0.687 0.126 0.000
Ce: 0.699 0.507 0.000
Ce: 0.874 0.313 0.000
Th: 0.094 0.263 0.000
Th: 0.263 0.094 0.000
Th: 0.737 0.906 0.000
Th: 0.906 0.737 0.000
In: 0.091 0.466 0.500
In: 0.117 0.883 0.500
In: 0.299 0.299 0.500
In: 0.313 0.687 0.500
In: 0.466 0.091 0.500
In: 0.500 0.500 0.500
In: 0.534 0.909 0.500
In: 0.687 0.313 0.500
In: 0.701 0.701 0.500
In: 0.883 0.117 0.500
In: 0.909 0.534 0.500

calculated formation energy = -0.255 eV per atom
final energy = -119.33 eV/cell
crystal system = orthorhombic

---

Record 11
A relaxed structure of Zn2Pb2O, computed with PBE.

Cell lengths 6.828, 6.828, 4.947 Å; angles 90.00, 90.00, 90.00 degrees
Sites, in units of the cell vectors:
Zn: 0.137 0.363 0.000
Zn: 0.363 0.863 0.000
Zn: 0.637 0.137 0.000
Zn: 0.863 0.637 0.000
Pb: 0.192 0.692 0.500
Pb: 0.308 0.192 0.500
Pb: 0.692 0.808 0.500
Pb: 0.808 0.308 0.500
O: 0.000 0.000 0.500
O: 0.500 0.500 0.500

raw formation energy = -0.039 eV/atom
distance to the lowest polymorph of the same formula = 0.00 eV per formula unit
final energy = -30.23 eV/cell
crystal system = tetragonal

---

Record 12
A relaxed structure of TbPmLuIn, computed with PBE.

Cell lengths 7.733, 7.733, 7.733 Å; angles 90.00, 90.00, 90.00 degrees
Sites, in units of the cell vectors:
Tb: 0.000 0.000 0.000
Tb: 0.000 0.500 0.500
Tb: 0.500 0.000 0.500
Tb: 0.500 0.500 0.000
Pm: 0.000 0.000 0.500
Pm: 0.000 0.500 0.000
Pm: 0.500 0.000 0.000
Pm: 0.500 0.500 0.500
Lu: 0.250 0.250 0.250
Lu: 0.250 0.750 0.750
Lu: 0.750 0.250 0.750
Lu: 0.750 0.750 0.250
In: 0.250 0.250 0.750
In: 0.250 0.750 0.250
In: 0.750 0.250 0.250
In: 0.750 0.750 0.750

calculated formation energy = -0.156 eV per atom
final energy = -69.05 eV/cell
crystal system = cubic

---

Record 13
A relaxed structure of CaAl2Ag5, computed with PBE.

Cell lengths 3.852, 7.787, 10.674 Å; angles 90.00, 90.00, 90.00 degrees
Sites, in units of the cell vectors:
Ca: 0.000 0.000 0.000
Ca: 0.500 0.500 0.500
Al: 0.000 0.500 0.252
Al: 0.000 0.500 0.748
Al: 0.500 0.000 0.248
Al: 0.500 0.000 0.752
Ag: 0.000 0.199 0.358
Ag: 0.000 0.199 0.642
Ag: 0.000 0.500 0.000
Ag: 0.000 0.801 0.358
Ag: 0.000 0.801 0.642
Ag: 0.500 0.000 0.500
Ag: 0.500 0.301 0.142
Ag: 0.500 0.301 0.858
Ag: 0.500 0.699 0.142
Ag: 0.500 0.699 0.858

calculated formation energy = -0.128 eV per atom
final energy = -49.53 eV/cell
crystal system = orthorhombic

---

Record 14
A relaxed structure of PaPd15Pb4, computed with PBE.

Cell lengths 4.118, 4.118, 20.604 Å; angles 90.00, 90.00, 90.00 degrees
Sites, in units of the cell vectors:
Pa: 0.000 0.000 0.000
Pd: 0.000 0.500 0.097
Pd: 0.000 0.500 0.301
Pd: 0.000 0.500 0.500
Pd: 0.000 0.500 0.699
Pd: 0.000 0.500 0.903
Pd: 0.500 0.000 0.097
Pd: 0.500 0.000 0.301
Pd: 0.500 0.000 0.500
Pd: 0.500 0.000 0.699
Pd: 0.500 0.000 0.903
Pd: 0.500 0.500 0.000
Pd: 0.500 0.500 0.199
Pd: 0.500 0.500 0.400
Pd: 0.500 0.500 0.600
Pd: 0.500 0.500 0.801
Pb: 0.000 0.000 0.205
Pb: 0.000 0.000 0.401
Pb: 0.000 0.000 0.599
Pb: 0.000 0.000 0.795

calculated formation energy = -0.408 eV per atom
final energy = -110.39 eV/cell
crystal system = tetragonal

---

Record 15
A relaxed structure of Er4Al3Hg, computed with PBE.

Cell lengths 3.687, 4.527, 11.602 Å; angles 90.00, 90.00, 90.00 degrees
Sites, in units of the cell vectors:
Er: 0.000 0.000 0.000
Er: 0.000 0.500 0.307
Er: 0.500 0.000 0.494
Er: 0.500 0.500 0.808
Al: 0.000 0.500 0.579
Al: 0.500 0.000 0.221
Al: 0.500 0.500 0.083
Hg: 0.000 0.000 0.726

calculated formation energy = -0.391 eV per atom
distance to the lowest polymorph of the same formula = 0.16 eV per formula unit
final energy = -32.91 eV/cell
crystal system = orthorhombic

---

Record 16
A relaxed structure of LiNd2Be3Pt4, computed with PBE.

Cell lengths 4.055, 4.055, 10.018 Å; angles 90.00, 90.00, 90.00 degrees
Sites, in units of the cell vectors:
Li: 0.000 0.000 0.000
Nd: 0.000 0.500 0.748
Nd: 0.500 0.000 0.252
Be: 0.000 0.500 0.382
Be: 0.500 0.000 0.618
Be: 0.500 0.500 0.000
Pt: 0.000 0.000 0.500
Pt: 0.000 0.500 0.141
Pt: 0.500 0.000 0.859
Pt: 0.500 0.500 0.500

calculated formation energy = -0.835 eV per atom
final energy = -55.14 eV/cell
crystal system = tetragonal

---

Record 17
A relaxed structure of Ga2TeCBr, computed with PBE.

Cell lengths 5.853, 5.853, 3.892 Å; angles 90.00, 90.00, 90.00 degrees
Sites, in units of the cell vectors:
Ga: 0.000 0.500 0.000
Ga: 0.500 0.000 0.000
Te: 0.000 0.000 0.500
C: 0.500 0.500 0.500
Br: 0.500 0.500 0.000

raw formation energy = 1.245 eV/atom
final energy = -13.87 eV/cell
crystal system = tetragonal

---

Record 18
A relaxed structure of DyAl3Ga2, computed with PBE.

Cell lengths 4.221, 4.221, 6.778 Å; angles 90.00, 90.00, 90.00 degrees
Sites, in units of the cell vectors:
Dy: 0.000 0.000 0.000
Al: 0.000 0.500 0.321
Al: 0.500 0.000 0.679
Al: 0.500 0.500 0.000
Ga: 0.000 0.500 0.698
Ga: 0.500 0.000 0.302

calculated formation energy = -0.176 eV per atom
final energy = -22.94 eV/cell
crystal system = tetragonal

---

Record 19
A relaxed structure of LuNiPbAu, computed with PBE.

Cell lengths 6.859, 6.859, 6.859 Å; angles 90.00, 90.00, 90.00 degrees
Sites, in units of the cell vectors:
Lu: 0.000 0.000 0.000
Lu: 0.000 0.500 0.500
Lu: 0.500 0.000 0.500
Lu: 0.500 0.500 0.000
Ni: 0.250 0.250 0.250
Ni: 0.250 0.750 0.750
Ni: 0.750 0.250 0.750
Ni: 0.750 0.750 0.250
Pb: 0.000 0.000 0.500
Pb: 0.000 0.500 0.000
Pb: 0.500 0.000 0.000
Pb: 0.500 0.500 0.500
Au: 0.250 0.250 0.750
Au: 0.250 0.750 0.250
Au: 0.750 0.250 0.250
Au: 0.750 0.750 0.750

calculated formation energy = -0.323 eV per atom
final energy = -74.32 eV/cell
crystal system = cubic

---

Record 20
A relaxed structure of Cs2AcCeSe4, computed with PBE.

Cell lengths 7.878, 4.551, 8.799 Å; angles 90.00, 107.33, 90.00 degrees
Sites, in units of the cell vectors:
Cs: 0.000 0.000 0.000
Cs: 0.500 0.500 0.000
Ac: 0.000 0.500 0.500
Ce: 0.500 0.000 0.500
Se: 0.241 0.000 0.695
Se: 0.279 0.500 0.310
Se: 0.721 0.500 0.690
Se: 0.759 0.000 0.305

raw formation energy = -1.730 eV/atom
final energy = -39.53 eV/cell
crystal system = monoclinic